# ZnPOF2, optimized geometry, DFT GGA-PBE
# - Raw formation energy: -0.66 eV/atom
# - Excess energy over the best structure of this formula in the dataset: 120 kJ/mol of formula units
# - D(E_F): 1.450 states/eV/cell
data_ZnPOF2
_symmetry_space_group_name_H-M 'P 4/m m m'
_symmetry_Int_Tables_number 123
_symmetry_space_group_name_Hall '-P 4 2'
_cell_length_a 3.839
_cell_length_b 3.839
_cell_length_c 4.361
_cell_angle_alpha 90.00
_cell_angle_beta 90.00
_cell_angle_gamma 90.00
loop_
_atom_site_label
_atom_site_fract_x
_atom_site_fract_y
_atom_site_fract_z
_atom_site_occupancy
Zn1 0.000 0.000 0.000 1
P1 0.500 0.500 0.500 1
O1 0.000 0.000 0.500 1
F1 0.000 0.500 0.000 1